Entry 1
DFT (GGA-PBE) results for a relaxed Mg4ZnCd crystal.

Computed properties:
The spin magnetization is 0.0 μB per cell. Its space group is C2/c. Its density of states at the Fermi level is 0.35 states/eV/atom.

Cell: 5.6065 8.0275 7.3281 Å, 114.42 100.97 110.55°
Atoms (fractional coordinates):
Mg 0.3660 0.4244 0.1354
Mg 0.7461 0.8866 0.6882
Mg 0.0579 0.6984 0.3118
Mg 0.9421 0.3016 0.6882
Mg 0.2539 0.1134 0.3118
Mg 0.2307 0.7890 0.8646
Mg 0.6340 0.5756 0.8646
Mg 0.7693 0.2110 0.1354
Zn 0.2499 0.4999 0.4998
Zn 0.7501 0.5001 0.5002
Cd 0.6355 0.8855 0.2709
Cd 0.3645 0.1145 0.7291

Entry 2
DFT (GGA-PBE) results for a relaxed Mg4ZnCd crystal.

Computed properties:
The spin magnetization is 0.0 μB per cell. Its space group is F-43m. Its density of states at the Fermi level is 0.30 states/eV/atom.

Cell: 5.7617 5.7617 5.7617 Å, 60.00 60.00 60.00°
Atoms (fractional coordinates):
Zn 0.7500 0.7500 0.7500
Mg 0.3750 0.8749 0.3750
Mg 0.3750 0.3750 0.8749
Mg 0.8749 0.3750 0.3750
Mg 0.3750 0.3750 0.3750
Cd 0.0000 0.0000 0.0000

Of them, entry 1 has the highest stability.

Entry 1
DFT (GGA-PBE) results for a relaxed Mg7Zn2Cd2 crystal.

Computed properties:
The spin magnetization is 0.0 μB per cell. Its space group is C2/m. Its density of states at the Fermi level is 0.37 states/eV/atom.

Cell: 5.7047 5.7047 7.3530 Å, 98.30 98.30 98.21°
Atoms (fractional coordinates):
Mg 0.0787 0.4613 0.7969
Mg 0.1634 0.1634 0.4265
Mg 0.9213 0.5387 0.2031
Mg 0.8366 0.8366 0.5735
Mg 0.4613 0.0787 0.7969
Mg 0.5387 0.9213 0.2031
Mg 0.0000 0.0000 0.0000
Zn 0.3028 0.6972 0.5000
Zn 0.6972 0.3028 0.5000
Cd 0.3962 0.3962 0.1591
Cd 0.6038 0.6038 0.8409

Entry 2
DFT (GGA-PBE) results for a relaxed Mg7Zn2Cd2 crystal.

Computed properties:
The spin magnetization is 0.0 μB per cell. Its space group is Imm2. Its density of states at the Fermi level is 0.34 states/eV/atom.

Cell: 3.2471 9.3115 9.3115 Å, 59.61 79.96 79.96°
Atoms (fractional coordinates):
Mg 0.8424 0.4478 0.8675
Mg 0.6163 0.4729 0.2945
Mg 0.3837 0.7055 0.5271
Mg 0.5000 0.0405 0.9595
Mg 0.1576 0.1325 0.5522
Mg 0.1744 0.7025 0.9486
Mg 0.8256 0.0514 0.2975
Zn 0.7408 0.8485 0.6700
Zn 0.2592 0.3300 0.1515
Cd 0.5000 0.3481 0.6519
Cd 0.0000 0.7743 0.2257

Of them, entry 1 has the highest stability.

Entry 1
DFT (GGA-PBE) results for a relaxed Mg5ZnCd crystal.

Computed properties:
The spin magnetization is 0.0 μB per cell. Its space group is C2/c. Its density of states at the Fermi level is 0.44 states/eV/atom.

Cell: 6.0139 6.0139 11.1347 Å, 65.59 65.59 69.65°
Atoms (fractional coordinates):
Zn 0.0000 0.0000 0.5000
Zn 0.0000 0.0000 0.0000
Mg 0.1284 0.4141 0.2458
Mg 0.4141 0.1284 0.7458
Mg 0.7396 0.5272 0.5103
Mg 0.9240 0.0760 0.7500
Mg 0.4728 0.2604 0.9897
Mg 0.0760 0.9240 0.2500
Mg 0.2604 0.4728 0.4897
Mg 0.5859 0.8716 0.2542
Mg 0.5272 0.7396 0.0103
Mg 0.8716 0.5859 0.7542
Cd 0.3455 0.6545 0.7500
Cd 0.6545 0.3455 0.2500

Entry 2
DFT (GGA-PBE) results for a relaxed Mg5ZnCd crystal.

Computed properties:
The spin magnetization is 0.0 μB per cell. Its space group is P4/mmm. Its density of states at the Fermi level is 0.25 states/eV/atom.

Cell: 4.5258 4.5258 7.5934 Å, 90.00 90.00 90.00°
Atoms (fractional coordinates):
Mg 0.5000 0.0000 0.2898
Mg 0.5000 0.5000 0.0000
Mg 0.0000 0.5000 0.2898
Mg 0.5000 0.0000 0.7102
Mg 0.0000 0.5000 0.7102
Zn 0.0000 0.0000 0.5000
Cd 0.0000 0.0000 0.0000

Of them, entry 2 has the highest stability.

Entry 1
DFT (GGA-PBE) results for a relaxed MgZr2Cd2 crystal.

Computed properties:
The spin magnetization is 0.0 μB per cell. Its space group is P4/mbm. Its density of states at the Fermi level is 1.38 states/eV/atom.

Cell: 8.7349 8.7349 3.1137 Å, 90.00 90.00 90.00°
Atoms (fractional coordinates):
Zr 0.1213 0.3787 0.0000
Zr 0.8787 0.6213 0.0000
Zr 0.3787 0.8787 0.0000
Zr 0.6213 0.1213 0.0000
Mg 0.5000 0.5000 0.0000
Mg 0.0000 0.0000 0.0000
Cd 0.6749 0.8251 0.5000
Cd 0.8251 0.3251 0.5000
Cd 0.1749 0.6749 0.5000
Cd 0.3251 0.1749 0.5000

Entry 2
DFT (GGA-PBE) results for a relaxed MgZr2Cd2 crystal.

Computed properties:
The spin magnetization is 0.0 μB per cell. Its space group is P4/mbm. Its density of states at the Fermi level is 0.54 states/eV/atom.

Cell: 7.9641 7.9641 3.5845 Å, 90.00 90.00 90.00°
Atoms (fractional coordinates):
Zr 0.1690 0.6690 0.5000
Zr 0.6690 0.8310 0.5000
Zr 0.3310 0.1690 0.5000
Zr 0.8310 0.3310 0.5000
Cd 0.1301 0.3699 0.0000
Cd 0.6301 0.1301 0.0000
Cd 0.3699 0.8699 0.0000
Cd 0.8699 0.6301 0.0000
Mg 0.5000 0.5000 0.0000
Mg 0.0000 0.0000 0.0000

Of them, entry 2 has the highest stability.

Entry 1
DFT (GGA-PBE) results for a relaxed Mg2Zr2Cd crystal.

Computed properties:
The spin magnetization is 0.0 μB per cell. Its space group is C2/c. Its density of states at the Fermi level is 0.67 states/eV/atom.

Cell: 10.2237 3.2254 8.8869 Å, 74.24 125.11 90.00°
Atoms (fractional coordinates):
Zr 0.8216 0.0171 0.3978
Zr 0.4238 0.4829 0.6022
Zr 0.1784 0.9829 0.6022
Zr 0.5762 0.5171 0.3978
Cd 0.3779 0.2500 0.0000
Cd 0.6221 0.7500 0.0000
Mg 0.9798 0.7671 0.2120
Mg 0.2322 0.2671 0.2120
Mg 0.0202 0.2329 0.7880
Mg 0.7678 0.7329 0.7880

Entry 2
DFT (GGA-PBE) results for a relaxed Mg2Zr2Cd crystal.

Computed properties:
The spin magnetization is 0.0 μB per cell. Its space group is P4/mbm. Its density of states at the Fermi level is 0.19 states/eV/atom.

Cell: 6.9797 6.9797 4.5529 Å, 90.00 90.00 90.00°
Atoms (fractional coordinates):
Mg 0.1377 0.3623 0.0000
Mg 0.8623 0.6377 0.0000
Mg 0.6377 0.1377 0.0000
Mg 0.3623 0.8623 0.0000
Cd 0.5000 0.5000 0.0000
Cd 0.0000 0.0000 0.0000
Zr 0.6632 0.8368 0.5000
Zr 0.8368 0.3368 0.5000
Zr 0.1632 0.6632 0.5000
Zr 0.3368 0.1632 0.5000

Of them, entry 1 has the highest stability.

Entry 1
DFT (GGA-PBE) results for a relaxed MgZr4Cd crystal.

Computed properties:
The spin magnetization is 0.0 μB per cell. Its space group is P4/mmm. Its density of states at the Fermi level is 0.92 states/eV/atom.

Cell: 3.0908 3.0908 14.3281 Å, 90.00 90.00 90.00°
Atoms (fractional coordinates):
Mg 0.0000 0.0000 0.0000
Zr 0.5000 0.5000 0.1751
Zr 0.5000 0.5000 0.8249
Zr 0.0000 0.0000 0.6666
Zr 0.0000 0.0000 0.3334
Cd 0.5000 0.5000 0.5000

Entry 2
DFT (GGA-PBE) results for a relaxed MgZr4Cd crystal.

Computed properties:
The spin magnetization is 0.0 μB per cell. Its space group is F-43m. Its density of states at the Fermi level is 0.90 states/eV/atom.

Cell: 5.8328 5.8328 5.8328 Å, 60.00 60.00 60.00°
Atoms (fractional coordinates):
Zr 0.3745 0.3745 0.3745
Zr 0.3745 0.8764 0.3745
Zr 0.8764 0.3745 0.3745
Zr 0.3745 0.3745 0.8764
Mg 0.0000 0.0000 0.0000
Cd 0.7500 0.7500 0.7500

Of them, entry 1 has the highest stability.

Entry 1
DFT (GGA-PBE) results for a relaxed Mg2ZrCd2 crystal.

Computed properties:
The spin magnetization is 0.0 μB per cell. Its space group is P4/mbm. Its density of states at the Fermi level is 0.54 states/eV/atom.

Cell: 8.4111 8.4111 2.9889 Å, 90.00 90.00 90.00°
Atoms (fractional coordinates):
Mg 0.8745 0.6255 0.0000
Mg 0.6255 0.1255 0.0000
Mg 0.1255 0.3745 0.0000
Mg 0.3745 0.8745 0.0000
Cd 0.3256 0.1744 0.5000
Cd 0.1744 0.6744 0.5000
Cd 0.8256 0.3256 0.5000
Cd 0.6744 0.8256 0.5000
Zr 0.5000 0.5000 0.0000
Zr 0.0000 0.0000 0.0000

Entry 2
DFT (GGA-PBE) results for a relaxed Mg2ZrCd2 crystal.

Computed properties:
The spin magnetization is 0.0 μB per cell. Its space group is I4/mmm. Its density of states at the Fermi level is 0.73 states/eV/atom.

Cell: 4.1588 4.1588 7.1148 Å, 73.01 73.01 90.00°
Atoms (fractional coordinates):
Zr 0.0000 0.0000 0.0000
Cd 0.3976 0.3976 0.2047
Cd 0.6024 0.6024 0.7953
Mg 0.7500 0.2500 0.5000
Mg 0.2500 0.7500 0.5000

Of them, entry 1 has the highest stability.

Entry 1
DFT (GGA-PBE) results for a relaxed Mn4Cd crystal.

Computed properties:
The spin magnetization is 13.6 μB per cell. Its space group is I4/m. Its density of states at the Fermi level is 0.94 states/eV/atom.

Cell: 4.8617 4.8617 4.8617 Å, 99.11 99.11 133.10°
Atoms (fractional coordinates):
Mn 0.3986 0.8124 0.2111
Mn 0.1876 0.3986 0.5862
Mn 0.8124 0.6014 0.4138
Mn 0.6014 0.1876 0.7889
Cd 0.0000 0.0000 0.0000

Entry 2
DFT (GGA-PBE) results for a relaxed Mn4Cd crystal.

Computed properties:
The spin magnetization is 1.3 μB per cell. Its space group is I4/mmm. Its density of states at the Fermi level is 0.56 states/eV/atom.

Cell: 5.3943 5.3943 5.3943 Å, 138.08 138.08 60.78°
Atoms (fractional coordinates):
Mn 0.7500 0.2500 0.5000
Mn 0.2500 0.7500 0.5000
Mn 0.3822 0.3822 0.0000
Mn 0.6178 0.6178 0.0000
Cd 0.0000 0.0000 0.0000

Entry 3
DFT (GGA-PBE) results for a relaxed Mn4Cd crystal.

Computed properties:
The spin magnetization is 16.7 μB per cell. Its space group is Pm-3m. Its density of states at the Fermi level is 1.19 states/eV/atom.

Cell: 4.9407 4.9407 4.9407 Å, 90.00 90.00 90.00°
Atoms (fractional coordinates):
Mn 0.0000 0.0000 0.0000
Mn 0.5000 0.0000 0.5000
Mn 0.5000 0.5000 0.0000
Mn 0.0000 0.5000 0.5000
Cd 0.5000 0.5000 0.5000

Of them, entry 2 has the highest stability.

Entry 1
DFT (GGA-PBE) results for a relaxed Mn5Cd3 crystal.

Computed properties:
The spin magnetization is 17.8 μB per cell. Its space group is Cmmm. Its density of states at the Fermi level is 1.00 states/eV/atom.

Cell: 5.7742 5.7742 4.0316 Å, 90.00 90.00 91.41°
Atoms (fractional coordinates):
Mn 0.0000 0.0000 0.0000
Mn 0.7551 0.7551 0.5000
Mn 0.2449 0.2449 0.5000
Mn 0.5000 0.0000 0.0000
Mn 0.0000 0.5000 0.0000
Cd 0.5000 0.5000 0.0000
Cd 0.7600 0.2400 0.5000
Cd 0.2400 0.7600 0.5000

Entry 2
DFT (GGA-PBE) results for a relaxed Mn5Cd3 crystal.

Computed properties:
The spin magnetization is 36.4 μB per cell. Its space group is P6_3/mcm. Its density of states at the Fermi level is 0.81 states/eV/atom.

Cell: 8.0620 8.0615 5.0035 Å, 90.00 90.00 59.99°
Atoms (fractional coordinates):
Cd 0.6013 0.3987 0.7500
Cd 0.0000 0.3987 0.2500
Cd 0.3987 0.0000 0.7500
Cd 0.6013 0.0000 0.2500
Cd 0.3987 0.6013 0.2500
Cd 0.0000 0.6013 0.7500
Mn 0.6667 0.6667 0.0000
Mn 0.3333 0.3333 0.0000
Mn 0.0000 0.7901 0.2500
Mn 0.6667 0.6667 0.5000
Mn 0.3333 0.3333 0.5000
Mn 0.0000 0.2100 0.7500
Mn 0.7901 0.2099 0.2500
Mn 0.7900 0.0000 0.7500
Mn 0.2099 0.7901 0.7500
Mn 0.2100 0.0000 0.2500

Of them, entry 1 has the highest stability.

Entry 1
DFT (GGA-PBE) results for a relaxed MnCd2Mo crystal.

Computed properties:
The spin magnetization is 2.9 μB per cell. Its space group is C2/m. Its density of states at the Fermi level is 1.07 states/eV/atom.

Cell: 5.1795 5.1795 5.1158 Å, 80.40 80.40 31.62°
Atoms (fractional coordinates):
Cd 0.4972 0.4972 0.5015
Cd 0.0028 0.0028 0.9985
Mn 0.7500 0.7500 0.7500
Mo 0.2500 0.2500 0.2500

Entry 2
DFT (GGA-PBE) results for a relaxed MnCd2Mo crystal.

Computed properties:
The spin magnetization is 2.7 μB per cell. Its space group is P2/m. Its density of states at the Fermi level is 0.73 states/eV/atom.

Cell: 4.3711 2.8051 6.3848 Å, 64.32 90.00 90.00°
Atoms (fractional coordinates):
Cd 0.0000 0.5016 0.4972
Cd 0.0000 0.9984 0.0028
Mn 0.5000 0.2500 0.2500
Mo 0.5000 0.7500 0.7500

Entry 3
DFT (GGA-PBE) results for a relaxed MnCd2Mo crystal.

Computed properties:
The spin magnetization is 2.3 μB per cell. Its space group is I4/mmm. Its density of states at the Fermi level is 1.15 states/eV/atom.

Cell: 5.2635 5.2635 5.2635 Å, 135.53 135.53 64.71°
Atoms (fractional coordinates):
Cd 0.5000 0.5000 0.0000
Cd 0.0000 0.0000 0.0000
Mn 0.2500 0.7500 0.5000
Mo 0.7500 0.2500 0.5000

Entry 4
DFT (GGA-PBE) results for a relaxed MnCd2Mo crystal.

Computed properties:
The spin magnetization is 2.8 μB per cell. Its space group is Cm. Its density of states at the Fermi level is 0.79 states/eV/atom.

Cell: 4.8712 4.8712 5.3912 Å, 82.83 82.83 33.82°
Atoms (fractional coordinates):
Cd 0.9976 0.9976 0.0023
Cd 0.7533 0.7533 0.7521
Mo 0.2452 0.2452 0.2794
Mn 0.5039 0.5039 0.4663

Of them, entry 4 has the highest stability.